This record from Alexandria describes KGaPb after structural relaxation. The functional is PBE-GGA.

## Properties
ΔE_f in meV/atom: 117

Unit cell a=4.6437 b=4.6437 c=8.5498 alpha=90.00 beta=90.00 gamma=90.00
Last column: nearest neighbours and their distance in Å.
Sites, in units of the cell vectors:
Ga  0.5000  0.0000  0.7883  1 Pb 2.79
Ga  0.0000  0.5000  0.2117  1 Pb 2.79
K  0.5000  0.5000  0.5000  4 K 3.28, 4 Ga 3.39
K  0.0000  0.0000  0.5000  4 K 3.28, 4 Ga 3.39
Pb  0.0000  0.5000  0.8852  1 Ga 2.79
Pb  0.5000  0.0000  0.1148  1 Ga 2.79

This record from Alexandria describes Hf2ThRh after structural relaxation. The functional is PBE-GGA.

## Properties
ΔE_f in meV/atom: -364

Unit cell a=3.3700 b=3.3700 c=7.7812 alpha=90.00 beta=90.00 gamma=90.00
Last column: nearest neighbours and their distance in Å.
Sites, in units of the cell vectors:
Rh  0.5000  0.5000  0.0000  8 Hf 2.84
Hf  0.0000  0.0000  0.8010  4 Rh 2.84, 1 Hf 3.10
Hf  0.0000  0.0000  0.1990  4 Rh 2.84, 1 Hf 3.10
Th  0.5000  0.5000  0.5000  8 Hf 3.34, 4 Th 3.37

This record from Alexandria describes NdYCu3 after structural relaxation. The functional is PBE-GGA.

## Properties
ΔE_f in meV/atom: -223

Unit cell a=3.7583 b=4.3023 c=12.9863 alpha=90.00 beta=98.32 gamma=90.00
Last column: nearest neighbours and their distance in Å.
Sites, in units of the cell vectors:
Cu  0.6731  0.2500  0.3462  2 Cu 2.55
Cu  0.3805  0.2500  0.7610  3 Cu 2.46-2.55
Cu  0.4763  0.2500  0.9527  3 Cu 2.46-2.47
Cu  0.3269  0.7500  0.6538  2 Cu 2.55
Cu  0.6195  0.7500  0.2390  3 Cu 2.46-2.55
Cu  0.5237  0.7500  0.0473  3 Cu 2.46-2.47
Y  0.2045  0.7500  0.4089  7 Cu 2.88-3.15
Y  0.7955  0.2500  0.5911  7 Cu 2.88-3.15
Nd  0.0719  0.2500  0.1438  12 Cu 3.09-3.21
Nd  0.9281  0.7500  0.8562  12 Cu 3.09-3.21

This record from Alexandria describes Tb4Y5Ho3 after structural relaxation. The functional is PBE-GGA.

## Properties
ΔE_f in meV/atom: 21
Energy above the most stable polymorph in this dataset in eV per formula unit: 0.00

Unit cell a=7.1151 b=11.2402 c=12.8166 alpha=151.28 beta=56.33 gamma=129.28
Last column: nearest neighbours and their distance in Å.
Sites, in units of the cell vectors:
Y  0.6663  0.3349  0.1686  5 Tb 3.54-3.57, 4 Ho 3.55-3.56, 3 Y 3.56
Y  0.5000  0.0000  0.5000  4 Ho 3.55-3.56, 4 Tb 3.55-3.56, 4 Y 3.55-3.56
Y  0.3337  0.6651  0.8314  5 Tb 3.54-3.57, 4 Ho 3.55-3.56, 3 Y 3.56
Y  0.7505  0.4997  0.9996  3 Ho 3.54-3.55, 3 Tb 3.55-3.57, 6 Y 3.55-3.56
Y  0.2495  0.5003  0.0004  3 Ho 3.54-3.55, 3 Tb 3.55-3.57, 6 Y 3.55-3.56
Ho  0.4171  0.8341  0.6668  5 Y 3.54-3.56, 6 Tb 3.55-3.56, 1 Ho 3.55
Ho  0.0000  0.0000  0.5000  8 Y 3.55-3.56, 2 Tb 3.55, 2 Ho 3.55
Ho  0.5829  0.1659  0.3332  5 Y 3.54-3.56, 6 Tb 3.55-3.56, 1 Ho 3.55
Tb  0.9176  0.8337  0.6664  5 Y 3.54-3.57, 3 Tb 3.55-3.56, 4 Ho 3.55-3.56
Tb  0.0824  0.1663  0.3336  5 Y 3.54-3.57, 3 Tb 3.55-3.56, 4 Ho 3.55-3.56
Tb  0.8350  0.6682  0.8332  4 Tb 3.53-3.56, 3 Ho 3.55-3.56, 5 Y 3.56-3.57
Tb  0.1650  0.3318  0.1668  4 Tb 3.53-3.56, 3 Ho 3.55-3.56, 5 Y 3.56-3.57

This record from Alexandria describes Pm3HgP2 after structural relaxation. The functional is PBE-GGA.

## Properties
ΔE_f in meV/atom: -847

Unit cell a=4.8794 b=6.9334 c=10.4244 alpha=90.00 beta=90.00 gamma=110.60
Last column: nearest neighbours and their distance in Å.
Sites, in units of the cell vectors:
Pm  0.3739  0.7479  0.5492  3 P 2.73-2.98
Pm  0.3739  0.7479  0.9508  3 P 2.73-2.98
Pm  0.6261  0.2521  0.0492  3 P 2.73-2.98
Pm  0.6261  0.2521  0.4508  3 P 2.73-2.98
Pm  0.0935  0.1870  0.7500  4 P 2.68-2.87
Pm  0.9065  0.8130  0.2500  4 P 2.68-2.87
P  0.5089  0.0178  0.7500  4 Pm 2.68-2.73
P  0.0000  0.0000  0.5000  6 Pm 2.87-2.98
P  0.4911  0.9822  0.2500  4 Pm 2.68-2.73
P  0.0000  0.0000  0.0000  6 Pm 2.87-2.98
Hg  0.7677  0.5353  0.7500  8 Pm 3.33-3.62, 1 P 3.36
Hg  0.2323  0.4647  0.2500  8 Pm 3.33-3.62, 1 P 3.36

This record from Alexandria describes CoAsAu after structural relaxation. The functional is PBE-GGA.

## Properties
ΔE_f in meV/atom: -9

Unit cell a=4.1718 b=4.1718 c=6.8893 alpha=102.42 beta=102.42 gamma=55.79
Last column: nearest neighbours and their distance in Å.
Sites, in units of the cell vectors:
Au  0.8630  0.8630  0.6143  3 As 2.67-2.87, 3 Au 2.79-2.85, 3 Co 2.81-2.91
Au  0.1370  0.1370  0.3857  3 As 2.67-2.87, 3 Au 2.79-2.85, 3 Co 2.81-2.91
Co  0.2478  0.2478  0.8517  4 As 2.31-2.43
Co  0.7522  0.7522  0.1483  4 As 2.31-2.43
As  0.4296  0.4296  0.1768  4 Co 2.31-2.43
As  0.5704  0.5704  0.8232  4 Co 2.31-2.43

This record from Alexandria describes Ca3Os after structural relaxation. The functional is PBE-GGA.

## Properties
ΔE_f in meV/atom: 349

Unit cell a=5.8859 b=5.8859 c=5.8859 alpha=138.58 beta=114.70 gamma=80.34
Last column: nearest neighbours and their distance in Å.
Sites, in units of the cell vectors:
Ca  0.0262  0.5000  0.5262  2 Os 2.81
Ca  0.3470  0.3081  0.0389  2 Os 2.96
Ca  0.7308  0.6919  0.0389  2 Os 2.96
Os  0.7293  0.0000  0.7293  6 Ca 2.81-2.96

This record from Alexandria describes BaPm2Ho after structural relaxation. The functional is PBE-GGA.

## Properties
ΔE_f in meV/atom: 200
Energy above the most stable polymorph in this dataset in eV per formula unit: 0.31

Unit cell a=3.6586 b=3.6586 c=13.2163 alpha=82.04 beta=82.04 gamma=60.00
Last column: nearest neighbours and their distance in Å.
Sites, in units of the cell vectors:
Pm  0.9060  0.9060  0.2819  3 Ho 3.54, 6 Pm 3.66, 1 Ba 3.68
Pm  0.0940  0.0940  0.7181  3 Ho 3.54, 6 Pm 3.66, 1 Ba 3.68
Ba  0.0000  0.0000  0.0000  6 Ba 3.66, 2 Pm 3.68
Ho  0.5000  0.5000  0.5000  6 Pm 3.54, 6 Ho 3.66

This record from Alexandria describes K4InBi3 after structural relaxation. The functional is PBE-GGA.

## Properties
ΔE_f in meV/atom: -317

Unit cell a=6.3757 b=10.3813 c=10.3813 alpha=84.59 beta=72.12 gamma=72.12
Last column: nearest neighbours and their distance in Å.
Sites, in units of the cell vectors:
Bi  0.8658  0.5000  0.7684  2 In 3.09
Bi  0.6342  0.2316  0.5000  2 In 3.09
Bi  0.3658  0.7684  0.5000  2 In 3.09
Bi  0.2500  0.0000  0.0000  2 Bi 3.19
Bi  0.7500  0.0000  0.0000  2 Bi 3.19
Bi  0.1342  0.5000  0.2316  2 In 3.09
In  0.7500  0.5000  0.5000  4 Bi 3.09, 2 In 3.19
In  0.2500  0.5000  0.5000  4 Bi 3.09, 2 In 3.19
K  0.9153  0.8576  0.3119  5 Bi 3.62-3.79, 3 K 3.72-3.97
K  0.7728  0.3119  0.1424  5 Bi 3.62-3.79, 3 K 3.72-3.97
K  0.5847  0.6881  0.1424  5 Bi 3.62-3.79, 3 K 3.72-3.97
K  0.2728  0.1424  0.3119  5 Bi 3.62-3.79, 3 K 3.72-3.97
K  0.4153  0.3119  0.8576  5 Bi 3.62-3.79, 3 K 3.72-3.97
K  0.2272  0.6881  0.8576  5 Bi 3.62-3.79, 3 K 3.72-3.97
K  0.0847  0.1424  0.6881  5 Bi 3.62-3.79, 3 K 3.72-3.97
K  0.7272  0.8576  0.6881  5 Bi 3.62-3.79, 3 K 3.72-3.97

This record from Alexandria describes PrSi4Tc9 after structural relaxation. The functional is PBE-GGA.

Unit cell a=8.3670 b=8.3670 c=8.6477 alpha=118.93 beta=118.93 gamma=90.00
Last column: nearest neighbours and their distance in Å.
Sites, in units of the cell vectors:
Si  0.2953  0.7953  0.2554  7 Tc 2.48-2.76
Si  0.7047  0.2047  0.7446  7 Tc 2.48-2.76
Si  0.2047  0.0398  0.7446  7 Tc 2.48-2.76
Si  0.5398  0.7047  0.7446  7 Tc 2.48-2.76
Si  0.7953  0.9602  0.2554  7 Tc 2.48-2.76
Si  0.9602  0.4602  0.2554  7 Tc 2.48-2.76
Si  0.0398  0.5398  0.7446  7 Tc 2.48-2.76
Si  0.4602  0.2953  0.2554  7 Tc 2.48-2.76
Tc  0.0661  0.1909  0.0000  3 Tc 2.39-2.64
Tc  0.9520  0.1914  0.6434  4 Si 2.48-2.59, 3 Tc 2.73-2.75
Tc  0.5661  0.3091  0.0000  3 Tc 2.39-2.64
Tc  0.9339  0.8091  0.0000  3 Tc 2.39-2.64
Tc  0.3091  0.4339  0.0000  3 Tc 2.39-2.64
Tc  0.8086  0.3086  0.3566  4 Si 2.48-2.59, 3 Tc 2.73-2.75
Tc  0.4520  0.9520  0.6434  4 Si 2.48-2.59, 3 Tc 2.73-2.75
Tc  0.1909  0.9339  0.0000  3 Tc 2.39-2.64
Tc  0.3086  0.5480  0.3566  4 Si 2.48-2.59, 3 Tc 2.73-2.75
Tc  0.4339  0.6909  0.0000  3 Tc 2.39-2.64
Tc  0.5000  0.0000  0.0000  4 Si 2.55, 8 Tc 2.64-2.73
Tc  0.0000  0.5000  0.0000  4 Si 2.55, 8 Tc 2.64-2.73
Tc  0.0480  0.8086  0.3566  4 Si 2.48-2.59, 3 Tc 2.73-2.75
Tc  0.6909  0.5661  0.0000  3 Tc 2.39-2.64
Tc  0.8091  0.0661  0.0000  3 Tc 2.39-2.64
Tc  0.5480  0.0480  0.3566  4 Si 2.48-2.59, 3 Tc 2.73-2.75
Tc  0.1914  0.6914  0.6434  4 Si 2.48-2.59, 3 Tc 2.73-2.75
Tc  0.6914  0.4520  0.6434  4 Si 2.48-2.59, 3 Tc 2.73-2.75
Pr  0.7500  0.7500  0.5000  16 Tc 3.40-3.58, 8 Si 3.48
Pr  0.2500  0.2500  0.5000  16 Tc 3.40-3.58, 8 Si 3.48

This record from Alexandria describes ReP2Se after structural relaxation. The functional is PBE-GGA.

Unit cell a=5.5806 b=4.5330 c=3.2234 alpha=78.41 beta=75.45 gamma=121.75
Last column: nearest neighbours and their distance in Å.
Sites, in units of the cell vectors:
P  0.0000  0.0000  0.0000  2 Re 2.50, 2 Se 2.50
P  0.5000  0.0000  0.5000  2 Se 2.50, 2 Re 2.50
Se  0.5000  0.5000  0.0000  4 P 2.50
Re  0.0000  0.5000  0.5000  4 P 2.50

This record from Alexandria describes Sm6Er4Sc after structural relaxation. The functional is PBE-GGA.

## Properties
ΔE_f in meV/atom: 130
Energy above the most stable polymorph in this dataset in eV per formula unit: 0.00

Unit cell a=5.7213 b=5.5827 c=25.6359 alpha=90.00 beta=90.00 gamma=120.82
Last column: nearest neighbours and their distance in Å.
Sites, in units of the cell vectors:
Sm  0.4656  0.9311  0.2500  3 Sc 3.22-3.26, 2 Er 3.25
Sm  0.8063  0.6125  0.3954  6 Er 3.28-3.67
Sm  0.8658  0.7315  0.6831  5 Sm 3.43-3.73, 4 Er 3.54-3.63, 3 Sc 3.62-3.70
Sm  0.8658  0.7315  0.8169  5 Sm 3.43-3.73, 4 Er 3.54-3.63, 3 Sc 3.62-3.70
Sm  0.1342  0.2685  0.1831  5 Sm 3.43-3.73, 4 Er 3.54-3.63, 3 Sc 3.62-3.70
Sm  0.1937  0.3875  0.6046  6 Er 3.28-3.67
Sm  0.5000  0.0000  0.0000  8 Er 3.17-3.51
Sm  0.8063  0.6125  0.1046  6 Er 3.28-3.67
Sm  0.1937  0.3875  0.8954  6 Er 3.28-3.67
Sm  0.5344  0.0689  0.7500  3 Sc 3.22-3.26, 2 Er 3.25
Sm  0.5000  0.0000  0.5000  8 Er 3.17-3.51
Sm  0.1342  0.2685  0.3169  5 Sm 3.43-3.73, 4 Er 3.54-3.63, 3 Sc 3.62-3.70
Sc  0.8017  0.6033  0.2500  3 Sm 3.22-3.26
Sc  0.1983  0.3967  0.7500  3 Sm 3.22-3.26
Er  0.8461  0.6922  0.5443  7 Sm 3.41-3.67, 2 Er 3.61-3.72
Er  0.4663  0.9326  0.1230  6 Sm 3.17-3.54
Er  0.1539  0.3078  0.4557  7 Sm 3.41-3.67, 2 Er 3.61-3.72
Er  0.8461  0.6922  0.9557  7 Sm 3.41-3.67, 2 Er 3.61-3.72
Er  0.5337  0.0674  0.6230  6 Sm 3.17-3.54
Er  0.5337  0.0674  0.8770  6 Sm 3.17-3.54
Er  0.4663  0.9326  0.3770  6 Sm 3.17-3.54
Er  0.1539  0.3078  0.0443  7 Sm 3.41-3.67, 2 Er 3.61-3.72

Number 1: M_tot 0.000 μB/atom, calculated total energy -2.494 eV per atom. Number 2: M_tot 0.000 μB/atom, calculated total energy -9.034 eV per atom. Number 3: M_tot 0.000 μB/atom, calculated total energy -4.927 eV per atom. Number 4: M_tot 0.000 μB/atom, calculated total energy -5.361 eV per atom. Number 5: M_tot 0.000 μB/atom, calculated total energy -5.075 eV per atom. Number 6: M_tot 0.000 μB/atom, calculated total energy -5.020 eV per atom. Number 7: M_tot 0.000 μB/atom, calculated total energy -3.959 eV per atom. Number 8: M_tot 0.000 μB/atom, calculated total energy -3.800 eV per atom. Number 9: M_tot 0.000 μB/atom, calculated total energy -2.663 eV per atom. Number 10: M_tot 0.000 μB/atom, calculated total energy -8.855 eV per atom. Number 11: M_tot 0.000 μB/atom, calculated total energy -6.063 eV per atom. Number 12: M_tot 0.000 μB/atom, calculated total energy -4.679 eV per atom.